Entry 1:
First-principles (PBE) data for an optimized crystal structure of BeBi, as listed in Alexandria.

Cell: 6.7226 6.7226 4.5026 Å, 90.00 90.00 90.00°
Closest atoms and distances in Å follow each position.
Fractional positions:
Be 0.2819 0.7181 0.0000  4 Bi 2.50-2.62
Be 0.7819 0.7819 0.5000  4 Bi 2.50-2.62
Be 0.2181 0.2181 0.5000  4 Bi 2.50-2.62
Be 0.7181 0.2819 0.0000  4 Bi 2.50-2.62
Bi 0.6679 0.6679 0.0000  4 Be 2.50-2.62
Bi 0.1679 0.8321 0.5000  4 Be 2.50-2.62
Bi 0.8321 0.1679 0.5000  4 Be 2.50-2.62
Bi 0.3321 0.3321 0.0000  4 Be 2.50-2.62

Results
As for the space group: No. 136. The theoretical density comes out at 7.12 g/cm³. Its formation energy from the elements is 0.5226 eV/atom. As for the crystal system: tetragonal. The energy relative to the lowest polymorph listed for this composition is 0.249 eV/atom.

Entry 2:
First-principles (PBE) data for an optimized crystal structure of BeBi, as listed in Alexandria.

Cell: 3.7343 3.7343 7.8650 Å, 90.00 90.00 120.00°
Closest atoms and distances in Å follow each position.
Fractional positions:
Bi 0.6667 0.3333 0.0013  1 Be 2.49
Bi 0.0000 0.0000 0.4981  3 Be 2.58
Be 0.6667 0.3333 0.3177  3 Be 2.22, 1 Bi 2.49
Be 0.3333 0.6667 0.2491  3 Be 2.22

Results
As for the space group: No. 156. The theoretical density comes out at 7.62 g/cm³. Its formation energy from the elements is 0.3247 eV/atom. As for the crystal system: trigonal. The energy relative to the lowest polymorph listed for this composition is 0.051 eV/atom.

Entry 3:
First-principles (PBE) data for an optimized crystal structure of BeBi, as listed in Alexandria.

Cell: 7.6379 7.6379 7.6379 Å, 90.00 90.00 90.00°
Closest atoms and distances in Å follow each position.
Fractional positions:
Be 0.6041 0.6041 0.6041  3 Be 2.25, 1 Bi 2.52
Be 0.6041 0.3959 0.3959  3 Be 2.25, 1 Bi 2.52
Be 0.1041 0.1041 0.1041  3 Be 2.25, 1 Bi 2.52
Be 0.3959 0.6041 0.3959  3 Be 2.25, 1 Bi 2.52
Be 0.8959 0.8959 0.1041  3 Be 2.25, 1 Bi 2.52
Be 0.3959 0.3959 0.6041  3 Be 2.25, 1 Bi 2.52
Be 0.8959 0.1041 0.8959  3 Be 2.25, 1 Bi 2.52
Be 0.1041 0.8959 0.8959  3 Be 2.25, 1 Bi 2.52
Bi 0.2943 0.2943 0.2943  4 Be 2.52-2.61
Bi 0.2057 0.7943 0.2057  4 Be 2.52-2.61
Bi 0.2057 0.2057 0.7943  4 Be 2.52-2.61
Bi 0.7943 0.2057 0.2057  4 Be 2.52-2.61
Bi 0.2943 0.7057 0.7057  4 Be 2.52-2.61
Bi 0.7057 0.7057 0.2943  4 Be 2.52-2.61
Bi 0.7057 0.2943 0.7057  4 Be 2.52-2.61
Bi 0.7943 0.7943 0.7943  4 Be 2.52-2.61

Results
As for the space group: No. 217. The theoretical density comes out at 6.50 g/cm³. Its formation energy from the elements is 0.5874 eV/atom. As for the crystal system: cubic. The energy relative to the lowest polymorph listed for this composition is 0.314 eV/atom.

Entry 4:
First-principles (PBE) data for an optimized crystal structure of BeBi, as listed in Alexandria.

Cell: 11.2852 4.2784 5.4667 Å, 90.00 90.00 90.00°
Closest atoms and distances in Å follow each position.
Fractional positions:
Be 0.1839 0.3340 0.6805  1 Be 2.39, 3 Bi 2.60-2.66
Be 0.0000 0.1827 0.4997  2 Be 2.39, 4 Bi 2.60-2.66
Be 0.8161 0.3340 0.6805  1 Be 2.39, 3 Bi 2.60-2.66
Be 0.6839 0.6660 0.1805  1 Be 2.39, 3 Bi 2.60-2.66
Be 0.5000 0.8173 0.9997  2 Be 2.39, 4 Bi 2.60-2.66
Be 0.3161 0.6660 0.1805  1 Be 2.39, 3 Bi 2.60-2.66
Bi 0.6791 0.8279 0.6844  5 Be 2.62-2.84
Bi 0.3209 0.8279 0.6844  5 Be 2.62-2.84
Bi 0.5000 0.3208 0.2726  4 Be 2.60-2.62
Bi 0.0000 0.6792 0.7726  4 Be 2.60-2.62
Bi 0.8209 0.1721 0.1844  5 Be 2.62-2.84
Bi 0.1791 0.1721 0.1844  5 Be 2.62-2.84

Results
As for the space group: No. 31. The theoretical density comes out at 8.23 g/cm³. Its formation energy from the elements is 0.4586 eV/atom. As for the crystal system: orthorhombic. The energy relative to the lowest polymorph listed for this composition is 0.185 eV/atom.

> What is the energy relative to the lowest polymorph listed for this composition in the first record?

0.249 eV/atom